No. 1
PBE-GGA CsBa2LiAu, relaxed; E = -2.137 eV per atom; calculated formation energy = -0.1589 eV per atom; density of states at the Fermi level = 4.045 states/eV/cell; energy above the lowest structure with this stoichiometry = 0.0 meV/atom; spin magnetization = 0.00 μB/cell
1.0
6.5260 0.0000 0.0000
0.0000 6.5260 0.0000
0.0000 0.0000 5.7489
Cs Au Ba Li
1 1 2 1
Cartesian
3.2630 3.2630 2.8745
0.0000 0.0000 0.0000
0.0000 3.2630 0.0000
3.2630 0.0000 0.0000
0.0000 0.0000 2.8745

No. 2
PBE-GGA NpVC, relaxed; E = -10.103 eV per atom; calculated formation energy = 0.3249 eV per atom; density of states at the Fermi level = 6.217 states/eV/cell; energy above the lowest structure with this stoichiometry = 356.0 meV/atom; spin magnetization = 3.02 μB/cell
1.0
3.8147 0.0000 0.0000
0.0000 3.5845 0.0000
0.0000 -1.7923 3.1043
Np C V
1 1 1
Cartesian
0.0002 0.0000 0.0000
1.9070 0.0000 2.0695
1.9075 1.7923 1.0348

> Among the records above, which one has the lowest E?

NpVC